No. 1
Compound: SrLiLa2Se4
Source: Alexandria
Functional: PBE
Structure: optimized geometry

Computed properties:
* total moment: 0.000 μB per atom
* formation energy (no corrections): -1855 meV/atom

Cell and atoms, written as CIF:
```
data_SrLiLa2Se4
_chemical_formula_sum 'Sr4 Li4 La8 Se16'
_cell_length_a 4.259
_cell_length_b 14.239
_cell_length_c 14.890
_cell_angle_alpha 90.00
_cell_angle_beta 90.00
_cell_angle_gamma 90.00
_symmetry_space_group_name_H-M 'C m c m'
_symmetry_Int_Tables_number 63
_symmetry_space_group_name_Hall '-C 2c 2'
loop_
_atom_site_label
_atom_site_type_symbol
_atom_site_fract_x
_atom_site_fract_y
_atom_site_fract_z
Sr1 Sr 0.000 0.116 0.250
Li1 Li 0.000 0.152 0.750
La1 La 0.000 0.370 0.058
Se1 Se 0.000 0.000 0.000
Se2 Se 0.000 0.273 0.624
Se3 Se 0.000 0.449 0.250
```

No. 2
Compound: Sr2LiLaSe
Source: Alexandria
Functional: PBE
Structure: optimized geometry

Computed properties:
* total moment: 0.000 μB per atom
* formation energy (no corrections): -151 meV/atom

Cell and atoms, written as CIF:
```
data_Sr2LiLaSe
_chemical_formula_sum 'Sr2 Li1 La1 Se1'
_cell_length_a 6.601
_cell_length_b 6.601
_cell_length_c 4.406
_cell_angle_alpha 90.00
_cell_angle_beta 90.00
_cell_angle_gamma 90.00
_symmetry_space_group_name_H-M 'P 4/m m m'
_symmetry_Int_Tables_number 123
_symmetry_space_group_name_Hall '-P 4 2'
loop_
_atom_site_label
_atom_site_type_symbol
_atom_site_fract_x
_atom_site_fract_y
_atom_site_fract_z
Sr1 Sr 0.000 0.500 0.000
Li1 Li 0.000 0.000 0.000
La1 La 0.500 0.500 0.500
Se1 Se 0.000 0.000 0.500
```

No. 3
Compound: LiLa4Tb3Se8
Source: Alexandria
Functional: PBE
Structure: optimized geometry

Computed properties:
* total moment: 0.000 μB per atom
* formation energy (no corrections): -1857 meV/atom

Cell and atoms, written as CIF:
```
data_LiLa4Tb3Se8
_chemical_formula_sum 'Li3 La12 Tb9 Se24'
_cell_length_a 8.3772
_cell_length_b 8.3772
_cell_length_c 20.6136
_cell_angle_alpha 90.00
_cell_angle_beta 90.00
_cell_angle_gamma 120.00
_symmetry_space_group_name_H-M 'R -3 m'
_symmetry_Int_Tables_number 166
_symmetry_space_group_name_Hall '-R 3 2"'
loop_
_atom_site_label
_atom_site_type_symbol
_atom_site_fract_x
_atom_site_fract_y
_atom_site_fract_z
Li1 Li 0.0000 0.0000 0.0000
La1 La 0.0000 0.0000 0.5000
La2 La 0.0000 0.5000 0.5000
Tb1 Tb 0.0000 0.5000 0.0000
Se1 Se 0.0000 0.0000 0.2554
Se2 Se 0.0057 0.5028 0.7431
```